Here is crystalline Ca6ZnN at its relaxed geometry from Alexandria via LeMat-Bulk. Energies are from PBE.

Calculated values
theoretical density: 2.11 Mg/m³
E_form (uncorrected): -0.284 eV per atom
VASP energy: -0.2194 Ry per atom
volume: 31.4 A^3/atom
size of the total moment: 0.00 μB/cell

Cell lengths 7.3070, 10.8951, 6.4842 Å; angles 90.00, 102.98, 90.00 degrees
Space group C2/m (No. 12)
Unique sites:
Ca (0.1505, 0.1579, 0.2512) [8 per cell]
Ca (0.2320, 0.5000, 0.1616) [4 per cell]
Zn (0.0000, 0.5000, 0.5000) [2 per cell]
N (0.0000, 0.0000, 0.0000) [2 per cell]